Entry 1:
# KBa2CaAs, optimized geometry, DFT PBE
data_KBa2CaAs
_cell_length_a 6.608
_cell_length_b 6.608
_cell_length_c 5.884
_cell_angle_alpha 90.00
_cell_angle_beta 90.00
_cell_angle_gamma 90.00
_space_group_name_H-M_alt 'P 4/m m m'
_space_group_IT_number 123
_space_group_name_Hall '-P 4 2'
loop_
_atom_site_label
_atom_site_fract_x
_atom_site_fract_y
_atom_site_fract_z
K1 0.000 0.000 0.000
Ba1 0.000 0.500 0.500
Ca1 0.500 0.500 0.000
As1 0.500 0.500 0.500
# * total magnetic moment: 0.005 μB per atom
# * raw total energy: -2.762 eV per atom

Entry 2:
# Zr2ScBr, optimized geometry, DFT PBE
data_Zr2ScBr
_cell_length_a 3.234
_cell_length_b 3.234
_cell_length_c 8.723
_cell_angle_alpha 90.00
_cell_angle_beta 90.00
_cell_angle_gamma 90.00
_space_group_name_H-M_alt 'P 4/m m m'
_space_group_IT_number 123
_space_group_name_Hall '-P 4 2'
loop_
_atom_site_label
_atom_site_fract_x
_atom_site_fract_y
_atom_site_fract_z
Zr1 0.000 0.000 0.243
Sc1 0.500 0.500 0.500
Br1 0.500 0.500 0.000
# * ΔE_f (raw): -0.1244 eV/atom
# * total magnetic moment: 0.000 μB per atom
# * raw total energy: -6.400 eV per atom

Entry 3:
# Li5LaAg7, optimized geometry, DFT PBE
data_Li5LaAg7
_cell_length_a 5.329
_cell_length_b 9.473
_cell_length_c 9.404
_cell_angle_alpha 90.00
_cell_angle_beta 90.00
_cell_angle_gamma 90.00
_space_group_name_H-M_alt 'I m m 2'
_space_group_IT_number 44
loop_
_space_group_symop_operation_xyz
'x,y,z'
'-x,-y,z'
'-x,y,z'
'x,-y,z'
'x+1/2,y+1/2,z+1/2'
'-x+1/2,-y+1/2,z+1/2'
'-x+1/2,y+1/2,z+1/2'
'x+1/2,-y+1/2,z+1/2'
loop_
_atom_site_label
_atom_site_fract_x
_atom_site_fract_y
_atom_site_fract_z
Li1 0.000 0.000 0.000
Li2 0.247 0.247 0.518
La1 0.000 0.500 0.259
Ag1 0.000 0.000 0.548
Ag2 0.000 0.150 0.267
Ag3 0.000 0.219 0.770
Ag4 0.000 0.500 0.609
Ag5 0.000 0.500 0.912
# * total magnetic moment: 0.000 μB per atom
# * raw total energy: -2.824 eV per atom